--- 1 ---
Computed, not measured: IrSBr after structural relaxation at the PBE-GGA level of DFT.

SG ... Pmmn, No. 59
Crystal system ... orthorhombic

a = 3.621 Å, b = 4.642 Å, c = 8.852 Å
α = 90.00°, β = 90.00°, γ = 90.00°
Fractional positions:
Ir  0.500  0.000  0.616
Ir  0.000  0.500  0.384
S  0.000  0.000  0.447
S  0.500  0.500  0.553
Br  0.500  0.500  0.178
Br  0.000  0.000  0.822

=====

--- 2 ---
Computed, not measured: IrSBr after structural relaxation at the PBE-GGA level of DFT.

SG ... P-1, No. 2
Crystal system ... triclinic

a = 3.519 Å, b = 6.535 Å, c = 7.495 Å
α = 64.62°, β = 75.80°, γ = 90.00°
Fractional positions:
S  0.843  0.513  0.822
S  0.157  0.487  0.178
Ir  0.253  0.273  0.994
Ir  0.747  0.727  0.006
Br  0.633  0.959  0.225
Br  0.367  0.041  0.775

=====

Which one sits at the top of the stability order? 1 does.

=====

--- 1 ---
Computed, not measured: Ir2SBr2 after structural relaxation at the PBE-GGA level of DFT.

SG ... P4/mbm, No. 127
Crystal system ... tetragonal

a = 9.893 Å, b = 9.893 Å, c = 2.808 Å
α = 90.00°, β = 90.00°, γ = 90.00°
Site moments in Bohr magnetons follow the coordinates.
Fractional positions:
S  0.000  0.000  0.000  0.38
S  0.500  0.500  0.000  0.38
Ir  0.085  0.585  0.500  -0.18
Ir  0.585  0.915  0.500  -0.18
Ir  0.915  0.415  0.500  -0.18
Ir  0.415  0.085  0.500  -0.18
Br  0.227  0.727  0.000  0.02
Br  0.727  0.773  0.000  0.02
Br  0.773  0.273  0.000  0.02
Br  0.273  0.227  0.000  0.02

=====

--- 2 ---
Computed, not measured: Ir2SBr2 after structural relaxation at the PBE-GGA level of DFT.

SG ... I4/mmm, No. 139
Crystal system ... tetragonal

a = 3.717 Å, b = 3.717 Å, c = 7.932 Å
α = 76.45°, β = 76.45°, γ = 90.00°
Site moments in Bohr magnetons follow the coordinates.
Fractional positions:
S  0.000  0.000  0.000  -0.06
Ir  0.750  0.250  0.500  0.47
Ir  0.250  0.750  0.500  0.47
Br  0.381  0.381  0.237  0.04
Br  0.619  0.619  0.763  0.04

=====

Which one sits at the top of the stability order? 2 does.

=====

--- 1 ---
Computed, not measured: IrSBr2 after structural relaxation at the PBE-GGA level of DFT.

SG ... R-3m, No. 166
Crystal system ... trigonal

a = 11.800 Å, b = 11.800 Å, c = 11.800 Å
α = 14.28°, β = 14.28°, γ = 14.28°
Fractional positions:
S  0.500  0.500  0.500
Ir  0.000  0.000  0.000
Br  0.932  0.932  0.932
Br  0.068  0.068  0.068

=====

--- 2 ---
Computed, not measured: IrSBr2 after structural relaxation at the PBE-GGA level of DFT.

SG ... Fm-3m, No. 225
Crystal system ... cubic

a = 4.732 Å, b = 4.732 Å, c = 4.732 Å
α = 60.00°, β = 60.00°, γ = 60.00°
Fractional positions:
S  0.000  0.000  0.000
Ir  0.500  0.500  0.500
Br  0.250  0.250  0.250
Br  0.750  0.750  0.750

=====

Which one sits at the top of the stability order? 1 does.

=====

--- 1 ---
Computed, not measured: IrSBr3 after structural relaxation at the PBE-GGA level of DFT.

SG ... Pm-3m, No. 221
Crystal system ... cubic

a = 5.026 Å, b = 5.026 Å, c = 5.026 Å
α = 90.00°, β = 90.00°, γ = 90.00°
Fractional positions:
S  0.500  0.500  0.500
Ir  0.000  0.000  0.000
Br  0.000  0.500  0.000
Br  0.000  0.000  0.500
Br  0.500  0.000  0.000

=====

--- 2 ---
Computed, not measured: IrSBr3 after structural relaxation at the PBE-GGA level of DFT.

SG ... Pm-3m, No. 221
Crystal system ... cubic

a = 5.100 Å, b = 5.100 Å, c = 5.100 Å
α = 90.00°, β = 90.00°, γ = 90.00°
Site moments in Bohr magnetons follow the coordinates.
Fractional positions:
S  0.000  0.000  0.000  0.00
Ir  0.500  0.500  0.500  2.22
Br  0.000  0.500  0.000  0.07
Br  0.000  0.000  0.500  0.04
Br  0.500  0.000  0.000  0.07

=====

Which one sits at the top of the stability order? 1 does.